KOsW2 | PBE | relaxed

Cell: 4.575 4.575 4.575 Å, 60.00 60.00 60.00°
Positions (direct):
K: 0.000 0.000 0.000
Os: 0.500 0.500 0.500
W: 0.250 0.250 0.250
W: 0.750 0.750 0.750

energy relative to the lowest polymorph listed for this composition: 751 meV per atom
energy relative to the elements: 1574 meV/atom